(1)
## Hf4AlRh2 (PBE)

Data for a relaxed structure of Hf4AlRh2.

## Properties
DFT formation energy: -2.5 eV per formula unit
magnetization: 0.0 μB per cell
DOS(E_F): 0.880 states/eV/atom

Lattice parameters (Å, degrees): 4.4042 4.4042 26.1708 90.00 90.00 120.00
Space group R-3m (No. 166, hexagonal axes)
Unique sites:
Hf1 0.0000 0.0000 0.1184 [6 per cell]
Hf2 0.0000 0.0000 0.2959 [6 per cell]
Al1 0.0000 0.0000 0.5000 [3 per cell]
Rh1 0.0000 0.0000 0.4013 [6 per cell]

(2)
## Al3InSe6 (PBE)

Data for a relaxed structure of Al3InSe6.

## Properties
energy relative to the elements, uncorrected: -0.55 eV/atom
magnetization: 0.0 μB per cell
DOS(E_F): 0.004 states/eV/atom

Lattice parameters (Å, degrees): 6.381 6.645 7.049 63.60 72.41 72.26
Space group P-1 (No. 2)
Unique sites:
Al1 0.000 0.000 0.000 [1 per cell]
Al2 0.000 0.500 0.000 [1 per cell]
Al3 0.500 0.000 0.000 [1 per cell]
In1 0.500 0.000 0.500 [1 per cell]
Se1 0.181 0.084 0.272 [2 per cell]
Se2 0.240 0.303 0.730 [2 per cell]
Se3 0.309 0.710 0.923 [2 per cell]

(3)
## La2Er4N (PBE)

Data for a relaxed structure of La2Er4N.

## Properties
energy relative to the elements, uncorrected: -0.30 eV/atom
magnetization: 0.0 μB per cell
DOS(E_F): 1.250 states/eV/atom

Lattice parameters (Å, degrees): 4.773 4.773 18.153 90.00 90.00 90.00
Space group I4/mmm (No. 139)
Unique sites:
La1 0.000 0.000 0.176 [4 per cell]
Er1 0.000 0.000 0.373 [4 per cell]
Er2 0.000 0.500 0.000 [4 per cell]
N1 0.000 0.000 0.500 [2 per cell]

(4)
## YTeS2 (PBE)

Data for a relaxed structure of YTeS2.

## Properties
energy relative to the elements, uncorrected: -0.97 eV/atom
magnetization: 0.0 μB per cell
DOS(E_F): 0.239 states/eV/atom

Lattice parameters (Å, degrees): 5.267 4.955 8.844 90.00 106.77 90.00
Space group P2_1/m (No. 11)
Unique sites:
Y1 0.241 0.250 0.287 [2 per cell]
Te1 0.258 0.750 0.017 [2 per cell]
S1 0.235 0.750 0.645 [2 per cell]
S2 0.294 0.750 0.420 [2 per cell]

(5)
## PtAu3C (PBE)

Data for a relaxed structure of PtAu3C.

## Properties
DFT formation energy: 10.9 eV per formula unit
magnetization: 1.7 μB per cell
ΔE to the lowest computed polymorph: 1409 meV/atom
DOS(E_F): 1.483 states/eV/atom

Lattice parameters (Å, degrees): 5.095 5.095 5.095 90.00 90.00 90.00
Space group Pm-3m (No. 221)
Unique sites:
Pt1 0.000 0.000 0.000 [1 per cell]
Au1 0.000 0.000 0.500 [3 per cell]
C1 0.500 0.500 0.500 [1 per cell]